SbAuO3 (GGA-PBEsol, optimized geometry); symmetry = No. 221; energy relative to the elements, uncorrected = 31 meV/atom; E_tot = -24.073 eV for the cell shown
1.0
4.064 0.000 0.000
0.000 4.064 0.000
0.000 0.000 4.064
Sb Au O
1 1 3
Direct
0.000 0.000 0.000
0.500 0.500 0.500
0.000 0.500 0.500
0.500 0.000 0.500
0.500 0.500 0.000